Record 1
VASP calculation (meta-GGA SCAN) on a crystal of CaSc2Ta relaxed with PBEsol.

Cell: 5.064 5.064 5.064 Å, 60.00 60.00 60.00°
Positions (direct):
Ca1 0.000 0.000 0.000
Ta1 0.500 0.500 0.500
Sc1 0.750 0.750 0.750
Sc2 0.250 0.250 0.250

Computed properties:
- calculated total energy (eV per atom) = -25.667
- crystal system = cubic
- energy relative to the lowest polymorph listed for this composition (meV/atom) = 142



Record 2
VASP calculation (meta-GGA SCAN) on a crystal of CsSrSi3 relaxed with PBEsol.

Cell: 5.482 5.482 5.482 Å, 90.00 90.00 90.00°
Positions (direct):
Sr1 0.500 0.500 0.500
Si1 0.000 0.500 0.000
Si2 0.500 0.000 0.000
Si3 0.000 0.000 0.500
Cs1 0.000 0.000 0.000

Computed properties:
- formation energy without anion corrections (eV per atom) = 1.6787
- calculated total energy (eV per atom) = -16.348
- crystal system = cubic



Record 3
VASP calculation (meta-GGA SCAN) on a crystal of SrIr2W relaxed with PBEsol.

Cell: 3.995 3.995 5.193 Å, 112.62 112.62 90.00°
Positions (direct):
Sr1 0.500 0.500 0.000
Ir1 0.750 0.250 0.500
Ir2 0.000 0.000 0.000
W1 0.250 0.750 0.500

Computed properties:
- calculated total energy (eV per atom) = -57.730
- crystal system = tetragonal
- energy relative to the lowest polymorph listed for this composition (meV/atom) = 468



Record 4
VASP calculation (meta-GGA SCAN) on a crystal of CuAsPt4 relaxed with PBEsol.

Cell: 5.189 5.189 5.189 Å, 60.00 60.00 60.00°
Positions (direct):
Pt1 0.876 0.375 0.375
Pt2 0.375 0.876 0.375
Pt3 0.375 0.375 0.375
Pt4 0.375 0.375 0.876
As1 0.750 0.750 0.750
Cu1 0.000 0.000 0.000

Computed properties:
- calculated total energy (eV per atom) = -52.428
- crystal system = cubic



Record 5
VASP calculation (meta-GGA SCAN) on a crystal of MgTa2W relaxed with PBEsol.

Cell: 2.728 2.728 9.505 Å, 90.00 90.00 90.00°
Positions (direct):
W1 0.500 0.500 0.000
Mg1 0.500 0.500 0.500
Ta1 0.000 0.000 0.759
Ta2 0.000 0.000 0.241

Computed properties:
- calculated total energy (eV per atom) = -51.640
- crystal system = tetragonal



Record 6
VASP calculation (meta-GGA SCAN) on a crystal of Co2HgSeBr relaxed with PBEsol.

Cell: 4.936 4.936 5.055 Å, 90.00 90.00 90.00°
Positions (direct):
Br1 0.000 0.000 0.500
Co1 0.500 0.000 0.000
Co2 0.000 0.500 0.000
Se1 0.500 0.500 0.500
Hg1 0.000 0.000 0.000

Computed properties:
- formation energy without anion corrections (eV per atom) = 1.2466
- calculated total energy (eV per atom) = -27.216
- crystal system = tetragonal



Record 7
VASP calculation (meta-GGA SCAN) on a crystal of CaY2In relaxed with PBEsol.

Cell: 4.735 4.877 4.877 Å, 90.00 90.00 90.00°
Positions (direct):
In1 0.500 0.000 0.000
Y1 0.000 0.500 0.000
Y2 0.000 0.000 0.500
Ca1 0.500 0.500 0.500

Computed properties:
- calculated total energy (eV per atom) = -25.004
- crystal system = tetragonal



Record 8
VASP calculation (meta-GGA SCAN) on a crystal of KBaSi2 relaxed with PBEsol.

Cell: 3.957 5.042 6.568 Å, 112.57 90.00 90.00°
Positions (direct):
K1 0.500 0.769 0.538
Si1 0.500 0.068 0.137
Si2 0.000 0.181 0.362
Ba1 0.000 0.480 0.959

Computed properties:
- formation energy without anion corrections (eV per atom) = -0.2196
- calculated total energy (eV per atom) = -17.197
- crystal system = orthorhombic



Record 9
VASP calculation (meta-GGA SCAN) on a crystal of La5Se relaxed with PBEsol.

Cell: 6.408 6.408 6.408 Å, 60.00 60.00 60.00°
Positions (direct):
La1 0.623 0.623 0.131
La2 0.623 0.131 0.623
La3 0.623 0.623 0.623
La4 0.250 0.250 0.250
La5 0.131 0.623 0.623
Se1 0.000 0.000 0.000

Computed properties:
- formation energy without anion corrections (eV per atom) = 0.0368
- calculated total energy (eV per atom) = -39.230
- crystal system = cubic



Record 10
VASP calculation (meta-GGA SCAN) on a crystal of TeAsAuS2 relaxed with PBEsol.

Cell: 4.488 4.488 5.714 Å, 90.00 90.00 90.00°
Positions (direct):
Te1 0.000 0.000 0.500
As1 0.000 0.000 0.000
S1 0.500 0.000 0.000
S2 0.000 0.500 0.000
Au1 0.500 0.500 0.500

Computed properties:
- formation energy without anion corrections (eV per atom) = 0.6652
- calculated total energy (eV per atom) = -28.506
- crystal system = tetragonal



Record 11
VASP calculation (meta-GGA SCAN) on a crystal of Zn2PbC relaxed with PBEsol.

Cell: 4.551 4.551 4.551 Å, 60.00 60.00 60.00°
Positions (direct):
Pb1 0.500 0.500 0.500
Zn1 0.250 0.250 0.250
Zn2 0.750 0.750 0.750
C1 0.000 0.000 0.000

Computed properties:
- calculated total energy (eV per atom) = -26.714
- crystal system = cubic



Record 12
VASP calculation (meta-GGA SCAN) on a crystal of MnBe3Pd relaxed with PBEsol.

Cell: 4.123 4.123 4.123 Å, 90.00 90.00 90.00°
Positions (direct):
Be1 0.500 0.000 0.000
Be2 0.000 0.500 0.000
Be3 0.000 0.000 0.500
Pd1 0.000 0.000 0.000
Mn1 0.500 0.500 0.500

Computed properties:
- calculated total energy (eV per atom) = -12.500
- crystal system = cubic



Q: Which of these has the highest calculated total energy?
A: MnBe3Pd